DFT (PBE with a Hubbard U) results for a relaxed structure of Na2ZrMnO4.

The structure in POSCAR format:
```
Na2ZrMnO4
1.0
5.620 0.000 0.000
0.000 3.249 0.000
-1.911 0.000 5.513
Na Zr Mn O
2 1 1 4
Direct
0.000 0.000 0.000
0.500 0.500 0.000
0.000 0.500 0.500
0.500 0.000 0.500
0.219 0.000 0.713
0.249 0.500 0.295
0.751 0.500 0.705
0.781 0.000 0.287
```

Summary:
Fermi-level density of states ... 0.00 states/eV/f.u.
Uncorrected energy ... -56.7 eV/cell
Symmetry ... P2/m (10)